K5Ni2O5: optimized geometry, GGA+U.

Cell lengths 3.511, 7.089, 9.099 Å; angles 71.23, 90.00, 104.34 degrees
Positions (direct):
K 0.500 0.000 0.500
K 0.635 0.271 0.007
K 0.726 0.452 0.344
K 0.274 0.548 0.656
K 0.365 0.729 0.993
Ni 0.030 0.061 0.775
Ni 0.970 0.939 0.225
O 0.102 0.204 0.258
O 0.607 0.214 0.701
O 0.393 0.786 0.299
O 0.898 0.796 0.742
O 0.000 0.000 0.000

* energy: -0.145 hartree per atom
* SG: C2/m (12)